# 1
Tb4PmCd2 | GGA-PBE | relaxed

abc: 5.107 5.107 10.786
angles: 76.31 76.31 60.00
Fractional positions:
Tb  0.894  0.894  0.319
Tb  0.702  0.702  0.893
Tb  0.106  0.106  0.681
Tb  0.298  0.298  0.107
Pm  0.500  0.500  0.500
Cd  0.601  0.601  0.198
Cd  0.399  0.399  0.802

Spin magnetization = 0.00 μB per cell
ΔE_f = 0.2104 eV per atom
N(E_F) = 1.66 states/eV/atom



# 2
Tb2Pm3Cd2 | GGA-PBE | relaxed

abc: 5.089 3.502 11.945
angles: 90.00 77.70 90.00
Site moments in Bohr magnetons follow the coordinates.
Fractional positions:
Cd  0.569  0.500  0.862  0.00
Cd  0.431  0.500  0.138  0.00
Pm  0.144  0.000  0.712  0.04
Pm  0.000  0.000  0.000  0.14
Pm  0.856  0.000  0.288  0.04
Tb  0.710  0.500  0.579  0.00
Tb  0.290  0.500  0.421  0.00

Spin magnetization = 0.34 μB per cell
ΔE_f = -0.0545 eV per atom
N(E_F) = 1.20 states/eV/atom
Polymorph energy (0 for the lowest one) = 101 meV per atom



# 3
Tb3Pm2Cd | GGA-PBE | relaxed

abc: 3.432 6.560 9.426
angles: 110.36 100.49 90.00
Fractional positions:
Pm  0.308  0.928  0.616
Pm  0.692  0.312  0.384
Tb  0.368  0.492  0.735
Tb  0.632  0.756  0.265
Tb  0.000  0.930  0.000
Cd  0.500  0.325  0.000

Spin magnetization = 0.00 μB per cell
ΔE_f = 0.1472 eV per atom
N(E_F) = 1.14 states/eV/atom
Polymorph energy (0 for the lowest one) = 245 meV per atom



# 4
Tb6PmCd | GGA-PBE | relaxed

abc: 9.317 8.596 6.333
angles: 47.29 42.69 57.18
Fractional positions:
Cd  0.000  0.000  0.000
Tb  0.041  0.448  0.752
Tb  0.552  0.241  0.167
Tb  0.241  0.041  0.271
Tb  0.959  0.552  0.248
Tb  0.448  0.759  0.833
Tb  0.759  0.959  0.729
Pm  0.500  0.500  0.500

Spin magnetization = 0.00 μB per cell
ΔE_f = 0.0462 eV per atom
N(E_F) = 1.20 states/eV/atom



# 5
Tb4PmCd | GGA-PBE | relaxed

abc: 3.599 3.599 14.183
angles: 90.00 90.00 90.00
Fractional positions:
Tb  0.500  0.500  0.180
Tb  0.500  0.500  0.820
Tb  0.000  0.000  0.645
Tb  0.000  0.000  0.355
Cd  0.500  0.500  0.500
Pm  0.000  0.000  0.000

Spin magnetization = 0.00 μB per cell
ΔE_f = -0.0913 eV per atom
N(E_F) = 1.37 states/eV/atom
Polymorph energy (0 for the lowest one) = 0 meV per atom



# 6
Tb2PmCd | GGA-PBE | relaxed

abc: 4.884 4.893 4.893
angles: 90.00 90.00 90.00
Fractional positions:
Pm  0.500  0.500  0.500
Cd  0.500  0.000  0.000
Tb  0.000  0.500  0.000
Tb  0.000  0.000  0.500

Spin magnetization = 0.02 μB per cell
ΔE_f = -0.0954 eV per atom
N(E_F) = 1.43 states/eV/atom
Polymorph energy (0 for the lowest one) = 56 meV per atom



# 7
Tb12Pm7Cd | GGA-PBE | relaxed

abc: 9.628 8.322 9.396
angles: 76.03 75.91 66.11
Fractional positions:
Pm  0.870  0.190  0.585
Pm  0.288  0.399  0.859
Pm  0.079  0.229  0.202
Pm  0.712  0.601  0.141
Pm  0.921  0.771  0.798
Pm  0.500  0.500  0.500
Pm  0.130  0.810  0.415
Tb  0.353  0.890  0.033
Tb  0.057  0.640  0.162
Tb  0.943  0.360  0.838
Tb  0.446  0.971  0.340
Tb  0.554  0.029  0.660
Tb  0.806  0.659  0.488
Tb  0.574  0.575  0.817
Tb  0.426  0.425  0.183
Tb  0.647  0.110  0.967
Tb  0.237  0.906  0.701
Tb  0.194  0.341  0.512
Tb  0.763  0.094  0.299
Cd  0.000  0.000  0.000

Spin magnetization = 0.00 μB per cell
ΔE_f = 0.0820 eV per atom
N(E_F) = 1.39 states/eV/atom



# 8
Tb7PmCd2 | GGA-PBE | relaxed

abc: 5.355 8.990 8.990
angles: 119.75 90.00 90.00
Site moments in Bohr magnetons follow the coordinates.
Fractional positions:
Tb  0.500  0.500  0.500  0.08
Tb  0.000  0.230  0.770  0.09
Tb  0.000  0.770  0.230  0.09
Tb  0.500  0.301  0.063  0.13
Tb  0.500  0.063  0.301  0.13
Tb  0.500  0.699  0.937  0.13
Tb  0.500  0.937  0.699  0.13
Cd  0.500  0.696  0.304  0.01
Cd  0.500  0.304  0.696  0.01
Pm  0.000  0.000  0.000  0.11

Spin magnetization = 1.57 μB per cell
ΔE_f = 0.4102 eV per atom
N(E_F) = 2.15 states/eV/atom



# 9
Tb8PmCd2 | GGA-PBE | relaxed

abc: 5.629 8.756 8.756
angles: 119.92 101.06 101.06
Fractional positions:
Tb  0.297  0.598  0.598
Tb  0.500  0.221  0.779
Tb  0.500  0.779  0.221
Tb  0.885  0.906  0.680
Tb  0.115  0.320  0.094
Tb  0.115  0.094  0.320
Tb  0.885  0.680  0.906
Tb  0.703  0.402  0.402
Cd  0.000  0.306  0.694
Cd  0.000  0.694  0.306
Pm  0.500  0.000  0.000

Spin magnetization = 0.00 μB per cell
ΔE_f = 0.0299 eV per atom
N(E_F) = 1.16 states/eV/atom



# 10
Tb3Pm6Cd | GGA-PBE | relaxed

abc: 5.106 11.145 11.381
angles: 91.66 90.00 90.00
Fractional positions:
Tb  0.750  0.652  0.208
Tb  0.750  0.449  0.599
Tb  0.250  0.348  0.792
Tb  0.250  0.752  0.009
Tb  0.750  0.248  0.991
Tb  0.250  0.551  0.401
Cd  0.250  0.948  0.605
Cd  0.750  0.052  0.395
Pm  0.750  0.847  0.810
Pm  0.750  0.551  0.898
Pm  0.250  0.153  0.190
Pm  0.250  0.046  0.894
Pm  0.250  0.654  0.702
Pm  0.750  0.954  0.106
Pm  0.250  0.860  0.315
Pm  0.250  0.449  0.102
Pm  0.750  0.346  0.298
Pm  0.750  0.763  0.506
Pm  0.250  0.237  0.494
Pm  0.750  0.140  0.685

Spin magnetization = 0.00 μB per cell
ΔE_f = -0.0211 eV per atom
N(E_F) = 1.43 states/eV/atom



# 11
TbPm4Cd | GGA-PBE | relaxed

abc: 6.411 9.085 8.467
angles: 113.10 100.04 112.38
Fractional positions:
Cd  0.251  0.001  0.002
Cd  0.749  0.999  0.998
Pm  0.958  0.834  0.239
Pm  0.757  0.711  0.618
Pm  0.219  0.595  0.761
Pm  0.638  0.093  0.382
Pm  0.362  0.907  0.618
Pm  0.243  0.289  0.382
Pm  0.042  0.166  0.761
Pm  0.781  0.405  0.239
Tb  0.662  0.412  0.825
Tb  0.338  0.588  0.175

Spin magnetization = 0.00 μB per cell
ΔE_f = 0.0011 eV per atom
N(E_F) = 1.34 states/eV/atom
Polymorph energy (0 for the lowest one) = 96 meV per atom



# 12
Tb4Pm5Cd4 | GGA-PBE | relaxed

abc: 5.262 9.035 9.035
angles: 85.14 73.07 73.07
Fractional positions:
Tb  0.607  0.295  0.491
Tb  0.902  0.491  0.705
Tb  0.098  0.509  0.295
Tb  0.393  0.705  0.509
Cd  0.761  0.341  0.137
Cd  0.898  0.863  0.341
Cd  0.102  0.137  0.659
Cd  0.239  0.659  0.863
Pm  0.684  0.925  0.707
Pm  0.000  0.000  0.000
Pm  0.316  0.075  0.293
Pm  0.609  0.707  0.075
Pm  0.391  0.293  0.925

Spin magnetization = 0.00 μB per cell
ΔE_f = -0.1794 eV per atom
N(E_F) = 0.93 states/eV/atom



# 13
TbPm12Cd3 | GGA-PBE | relaxed

abc: 4.975 4.975 20.192
angles: 90.00 90.00 90.00
Fractional positions:
Cd  0.000  0.000  0.500
Cd  0.000  0.000  0.257
Cd  0.000  0.000  0.743
Pm  0.000  0.500  0.130
Pm  0.500  0.000  0.623
Pm  0.500  0.500  0.500
Pm  0.500  0.500  0.000
Pm  0.500  0.000  0.130
Pm  0.000  0.500  0.870
Pm  0.500  0.000  0.377
Pm  0.500  0.000  0.870
Pm  0.500  0.500  0.255
Pm  0.500  0.500  0.745
Pm  0.000  0.500  0.623
Pm  0.000  0.500  0.377
Tb  0.000  0.000  0.000

Spin magnetization = 0.00 μB per cell
ΔE_f = -0.0709 eV per atom
N(E_F) = 1.52 states/eV/atom



# 14
Tb6Pm12Cd | GGA-PBE | relaxed

abc: 8.721 8.721 8.722
angles: 97.41 97.41 97.41
Fractional positions:
Pm  0.260  0.740  0.999
Pm  0.829  0.420  0.420
Pm  0.740  0.260  0.001
Pm  0.171  0.580  0.580
Pm  0.580  0.580  0.171
Pm  0.420  0.420  0.829
Pm  0.420  0.829  0.420
Pm  0.999  0.260  0.740
Pm  0.580  0.171  0.580
Pm  0.001  0.740  0.260
Pm  0.260  0.001  0.740
Pm  0.740  0.999  0.260
Tb  0.136  0.406  0.135
Tb  0.406  0.135  0.136
Tb  0.864  0.594  0.865
Tb  0.135  0.136  0.406
Tb  0.594  0.865  0.864
Tb  0.865  0.864  0.594
Cd  0.000  0.000  0.000

Spin magnetization = 0.00 μB per cell
ΔE_f = 0.1114 eV per atom
N(E_F) = 1.49 states/eV/atom



# 15
Tb3PmCd | GGA-PBE | relaxed

abc: 6.455 9.908 9.908
angles: 83.72 100.46 100.46
Fractional positions:
Cd  0.250  0.915  0.085
Cd  0.750  0.085  0.915
Cd  0.750  0.861  0.139
Cd  0.250  0.139  0.861
Pm  0.989  0.399  0.792
Pm  0.511  0.208  0.601
Pm  0.011  0.601  0.208
Pm  0.489  0.792  0.399
Tb  0.869  0.003  0.626
Tb  0.369  0.626  0.003
Tb  0.131  0.997  0.374
Tb  0.865  0.734  0.868
Tb  0.365  0.868  0.734
Tb  0.969  0.669  0.537
Tb  0.531  0.463  0.331
Tb  0.631  0.374  0.997
Tb  0.635  0.132  0.266
Tb  0.135  0.266  0.132
Tb  0.469  0.537  0.669
Tb  0.031  0.331  0.463

Spin magnetization = 0.00 μB per cell
ΔE_f = -0.0247 eV per atom
N(E_F) = 1.48 states/eV/atom
Polymorph energy (0 for the lowest one) = 84 meV per atom



# 16
Tb6PmCd2 | GGA-PBE | relaxed

abc: 3.763 6.611 11.780
angles: 75.27 80.81 73.47
Fractional positions:
Pm  0.000  0.000  0.000
Tb  0.985  0.690  0.341
Tb  0.015  0.310  0.659
Tb  0.685  0.506  0.124
Tb  0.312  0.792  0.583
Tb  0.315  0.494  0.876
Tb  0.688  0.208  0.417
Cd  0.648  0.916  0.787
Cd  0.352  0.084  0.213

Spin magnetization = 0.00 μB per cell
ΔE_f = -0.1303 eV per atom
N(E_F) = 1.04 states/eV/atom
Polymorph energy (0 for the lowest one) = 0 meV per atom



# 17
Tb3Pm3Cd2 | GGA-PBE | relaxed

abc: 5.326 6.485 15.709
angles: 90.00 90.00 114.24
Fractional positions:
Cd  0.770  0.540  0.863
Cd  0.770  0.540  0.637
Cd  0.230  0.460  0.137
Cd  0.230  0.460  0.363
Pm  0.038  0.076  0.607
Pm  0.734  0.467  0.250
Pm  0.038  0.076  0.893
Pm  0.266  0.533  0.750
Pm  0.962  0.924  0.107
Pm  0.962  0.924  0.393
Tb  0.455  0.910  0.250
Tb  0.357  0.713  0.533
Tb  0.643  0.287  0.467
Tb  0.357  0.713  0.967
Tb  0.643  0.287  0.033
Tb  0.545  0.090  0.750

Spin magnetization = 0.00 μB per cell
ΔE_f = -0.0663 eV per atom
N(E_F) = 1.30 states/eV/atom



# 18
Tb5PmCd4 | GGA-PBE | relaxed

abc: 3.711 3.711 20.318
angles: 90.00 90.00 90.00
Site moments in Bohr magnetons follow the coordinates.
Fractional positions:
Cd  0.000  0.000  0.783  -0.01
Cd  0.000  0.000  0.595  -0.01
Cd  0.000  0.000  0.217  -0.01
Cd  0.000  0.000  0.405  -0.01
Tb  0.500  0.500  0.877  -0.02
Tb  0.500  0.500  0.123  -0.02
Tb  0.500  0.500  0.688  -0.09
Tb  0.500  0.500  0.312  -0.09
Tb  0.500  0.500  0.500  -0.09
Pm  0.000  0.000  0.000  -0.01

Spin magnetization = 0.52 μB per cell
ΔE_f = -0.2418 eV per atom
N(E_F) = 1.47 states/eV/atom



# 19
TbPm2Cd5 | GGA-PBE | relaxed

abc: 5.168 5.168 8.521
angles: 107.65 107.65 90.00
Site moments in Bohr magnetons follow the coordinates.
Fractional positions:
Cd  0.385  0.885  0.769  0.00
Cd  0.115  0.615  0.231  0.00
Cd  0.615  0.115  0.231  0.00
Cd  0.885  0.385  0.769  0.00
Cd  0.500  0.500  0.000  0.00
Tb  0.000  0.000  0.000  -0.01
Pm  0.737  0.737  0.475  0.07
Pm  0.263  0.263  0.525  0.07

Spin magnetization = 0.21 μB per cell
ΔE_f = -0.3086 eV per atom
N(E_F) = 0.66 states/eV/atom



# 20
Tb8PmCd6 | GGA-PBE | relaxed

abc: 9.032 9.032 8.248
angles: 56.80 56.80 60.00
Site moments in Bohr magnetons follow the coordinates.
Fractional positions:
Tb  0.882  0.552  0.350  0.12
Tb  0.785  0.118  0.650  0.12
Tb  0.215  0.882  0.350  0.12
Tb  0.448  0.785  0.650  0.12
Tb  0.552  0.215  0.350  0.12
Tb  0.118  0.448  0.650  0.12
Tb  0.667  0.667  0.998  0.06
Tb  0.333  0.333  0.002  0.06
Pm  0.000  0.000  0.000  0.10
Cd  0.714  0.389  0.845  0.00
Cd  0.286  0.611  0.155  0.00
Cd  0.389  0.052  0.845  0.00
Cd  0.948  0.286  0.155  0.00
Cd  0.052  0.714  0.845  0.00
Cd  0.611  0.948  0.155  0.00

Spin magnetization = 1.43 μB per cell
ΔE_f = -0.0721 eV per atom
N(E_F) = 1.22 states/eV/atom



# 21
TbPm4Cd | GGA-PBE | relaxed

abc: 3.657 3.657 14.321
angles: 90.00 90.00 90.00
Fractional positions:
Tb  0.000  0.000  0.000
Pm  0.500  0.500  0.824
Pm  0.000  0.000  0.647
Pm  0.500  0.500  0.176
Pm  0.000  0.000  0.353
Cd  0.500  0.500  0.500

Spin magnetization = 0.00 μB per cell
ΔE_f = -0.0950 eV per atom
N(E_F) = 1.27 states/eV/atom
Polymorph energy (0 for the lowest one) = 0 meV per atom